(1)
The following is a PBE-GGA calculation of a relaxed SrReP2O8 crystal, from Alexandria via LeMat-Bulk.

The value obtained for the raw formation energy is -2.07 eV/atom.

The structure belongs to space group R32 (No. 155, hexagonal axes); the cell edges are 4.8590, 4.8590 and 23.4457 Å and the angles 90.00°, 90.00° and 120.00°. Symmetry generates all atoms from Sr at (0.0000, 0.0000, 0.0000), Re at (0.0000, 0.0000, 0.5000), P at (0.0000, 0.0000, 0.2453), O at (0.0000, 0.0000, 0.3105) and O at (0.0085, 0.3937, 0.8905).

---

(2)
The following is a PBE-GGA calculation of a relaxed Na3Ag5Sn12 crystal, from Alexandria via LeMat-Bulk.

The formation energy comes out at 21.8 kJ per mole of atoms. As for the density of states at the Fermi level: 0.535 states/eV per atom.

The structure belongs to space group Ia-3d (No. 230); the cell edges are 16.714, 16.714 and 16.714 Å and the angles 90.00°, 90.00° and 90.00°. Symmetry generates all atoms from Na at (0.000, 0.250, 0.125), Ag at (0.000, 0.000, 0.000), Ag at (0.000, 0.250, 0.375) and Sn at (0.023, 0.078, 0.647).

---

(3)
The following is a PBE-GGA calculation of a relaxed AcLu2Zn crystal, from Alexandria via LeMat-Bulk.

The formation energy comes out at 6.5 kJ per mole of atoms. As for the density of states at the Fermi level: 1.404 states/eV per atom. The energy above the most stable polymorph in this dataset is 181 meV/atom.

The structure belongs to space group P4/mmm (No. 123); the cell edges are 4.806, 4.806 and 5.052 Å and the angles 90.00°, 90.00° and 90.00°. Symmetry generates all atoms from Ac at (0.000, 0.000, 0.000), Lu at (0.000, 0.500, 0.500) and Zn at (0.500, 0.500, 0.000).

---

(4)
The following is a PBE-GGA calculation of a relaxed LuCuSnAu crystal, from Alexandria via LeMat-Bulk.

The formation energy comes out at -45.0 kJ per mole of atoms. As for the density of states at the Fermi level: 0.367 states/eV per atom.

The structure belongs to space group F-43m (No. 216); the cell edges are 6.811, 6.811 and 6.811 Å and the angles 90.00°, 90.00° and 90.00°. Symmetry generates all atoms from Lu at (0.000, 0.000, 0.000), Cu at (0.250, 0.250, 0.250), Sn at (0.000, 0.000, 0.500) and Au at (0.250, 0.250, 0.750).

---

Total magnetization: 9.000, 0.000, 0.000, 0.000 (μB/cell)